Entry 1:
Computed, not measured: an optimized crystal structure of InSi2Os2 at the PBE level of DFT.

The total DFT energy (no corrections) comes out at -7.107 eV per atom. The space group is P4/mbm, No. 127. For the calculated density, the calculation gives 12.2 g cm⁻³. The energy above the most stable polymorph in this dataset is 0.279 eV per atom. The magnetic moment comes out at 0.000 μB per atom. Its density of states at the Fermi level is 5.2 states/eV/cell.

a b c (Å): 7.292 7.292 2.833
angles (deg): 90.00 90.00 90.00
Fractional coordinates of all 10 atoms:
1 Si 0.366 0.866 0.000
2 Si 0.866 0.634 0.000
3 Si 0.634 0.134 0.000
4 Si 0.134 0.366 0.000
5 Os 0.155 0.655 0.500
6 Os 0.655 0.845 0.500
7 Os 0.845 0.345 0.500
8 Os 0.345 0.155 0.500
9 In 0.000 0.000 0.000
10 In 0.500 0.500 0.000

***

Entry 2:
Computed, not measured: an optimized crystal structure of InSi2Os at the PBE level of DFT.

The total DFT energy (no corrections) comes out at -6.030 eV per atom. The space group is R-3m, No. 166. For the calculated density, the calculation gives 8.8 g cm⁻³. The magnetic moment comes out at 0.000 μB per atom. Its density of states at the Fermi level is 1.3 states/eV/cell.

a b c (Å): 8.442 8.442 8.442
angles (deg): 21.08 21.08 21.08
Fractional coordinates of all 4 atoms:
1 In 0.250 0.250 0.250
2 Os 0.750 0.750 0.750
3 Si 0.014 0.014 0.014
4 Si 0.486 0.486 0.486

***

Entry 3:
Computed, not measured: an optimized crystal structure of InSiOs4 at the PBE level of DFT.

The total DFT energy (no corrections) comes out at -7.986 eV per atom. The space group is F-43m, No. 216. For the calculated density, the calculation gives 14.9 g cm⁻³. The magnetic moment comes out at 0.001 μB per atom. Its density of states at the Fermi level is 8.5 states/eV/cell.

a b c (Å): 5.220 5.220 5.220
angles (deg): 60.00 60.00 60.00
Fractional coordinates of all 6 atoms:
1 In 0.000 0.000 0.000
2 Si 0.250 0.250 0.250
3 Os 0.625 0.625 0.126
4 Os 0.625 0.126 0.625
5 Os 0.625 0.625 0.625
6 Os 0.126 0.625 0.625

***

Entry 4:
Computed, not measured: an optimized crystal structure of InSi2Os at the PBE level of DFT.

The total DFT energy (no corrections) comes out at -5.544 eV per atom. The space group is F-43m, No. 216. For the calculated density, the calculation gives 9.2 g cm⁻³. The magnetic moment comes out at 0.000 μB per atom. Its density of states at the Fermi level is 2.9 states/eV/cell.

a b c (Å): 4.518 4.518 4.518
angles (deg): 60.00 60.00 60.00
Fractional coordinates of all 4 atoms:
1 In 0.500 0.500 0.500
2 Os 0.250 0.250 0.250
3 Si 0.000 0.000 0.000
4 Si 0.750 0.750 0.750

***

Entry 5:
Computed, not measured: an optimized crystal structure of InSi2Os at the PBE level of DFT.

The total DFT energy (no corrections) comes out at -6.033 eV per atom. The space group is Pm, No. 6. For the calculated density, the calculation gives 9.0 g cm⁻³. The magnetic moment comes out at 0.000 μB per atom. Its density of states at the Fermi level is 1.3 states/eV/cell.

a b c (Å): 4.354 3.334 4.899
angles (deg): 70.19 90.00 90.00
Fractional coordinates of all 4 atoms:
1 In 0.000 0.536 0.552
2 Os 0.500 0.930 0.765
3 Si 0.000 0.806 0.014
4 Si 0.500 0.228 0.169

***

Entry 6:
Computed, not measured: an optimized crystal structure of InSi2Os at the PBE level of DFT.

The total DFT energy (no corrections) comes out at -5.826 eV per atom. The space group is Immm, No. 71. For the calculated density, the calculation gives 8.2 g cm⁻³. The magnetic moment comes out at 0.000 μB per atom. Its density of states at the Fermi level is 2.3 states/eV/cell.

a b c (Å): 6.053 6.053 6.053
angles (deg): 152.51 134.35 54.12
Fractional coordinates of all 4 atoms:
1 In 0.750 0.250 0.500
2 Os 0.250 0.750 0.500
3 Si 0.059 0.059 0.000
4 Si 0.441 0.441 0.000

***

Entry 7:
Computed, not measured: an optimized crystal structure of InSiOs3 at the PBE level of DFT.

The total DFT energy (no corrections) comes out at -5.309 eV per atom. The space group is Pm-3m, No. 221. For the calculated density, the calculation gives 10.4 g cm⁻³. The energy above the most stable polymorph in this dataset is 2.083 eV per atom. The magnetic moment comes out at 0.901 μB per atom. Its density of states at the Fermi level is 8.2 states/eV/cell.

a b c (Å): 4.854 4.854 4.854
angles (deg): 90.00 90.00 90.00
Site moments in Bohr magnetons follow the coordinates.
Fractional coordinates of all 5 atoms:
1 Si 0.500 0.500 0.500  -0.01
2 Os 0.000 0.500 0.000  1.47
3 Os 0.000 0.000 0.500  1.64
4 Os 0.500 0.000 0.000  1.16
5 In 0.000 0.000 0.000  -0.02

***

Entry 8:
Computed, not measured: an optimized crystal structure of InSiOs3 at the PBE level of DFT.

The total DFT energy (no corrections) comes out at -7.393 eV per atom. The space group is Pm-3m, No. 221. For the calculated density, the calculation gives 13.7 g cm⁻³. The energy above the most stable polymorph in this dataset is 0.000 eV per atom. The magnetic moment comes out at 0.122 μB per atom. Its density of states at the Fermi level is 5.0 states/eV/cell.

a b c (Å): 4.426 4.426 4.426
angles (deg): 90.00 90.00 90.00
Site moments in Bohr magnetons follow the coordinates.
Fractional coordinates of all 5 atoms:
1 Si 0.000 0.000 0.000  -0.01
2 Os 0.000 0.500 0.000  0.20
3 Os 0.000 0.000 0.500  0.18
4 Os 0.500 0.000 0.000  0.20
5 In 0.500 0.500 0.500  -0.01

***

total DFT energy (no corrections) of number 2 (InSi2Os)?
-6.030 eV per atom

***

Look up the magnetic moment of the fifth one.
0.000 μB per atom